Entry from Alexandria: an optimized crystal structure of HoErTe (GGA-PBE).

Properties
Relative energy among the computed polymorphs: 366 meV/atom

a = 5.1258 Å, b = 5.1258 Å, c = 3.9283 Å
α = 90.00°, β = 90.00°, γ = 120.00°
Last column: nearest neighbours and their distance in Å.
Sites, in units of the cell vectors:
Ho (0.0000, 0.0000, 0.0000)  3 Te 3.12
Er (0.3333, 0.6667, 0.5068)  3 Te 3.10-3.11
Te (0.6667, 0.3333, 0.7460)  3 Er 3.10-3.11, 3 Ho 3.12

***

Entry from Alexandria: an optimized crystal structure of HoErTe (GGA-PBE).

Properties
Relative energy among the computed polymorphs: 59 meV/atom

a = 6.3542 Å, b = 6.3542 Å, c = 6.3542 Å
α = 144.86°, β = 144.86°, γ = 50.54°
Last column: nearest neighbours and their distance in Å.
Sites, in units of the cell vectors:
Ho (0.0000, 0.0000, 0.0000)  4 Te 3.26, 5 Er 3.46-3.60
Er (0.6865, 0.6865, 0.0000)  4 Te 3.25, 5 Ho 3.46-3.60
Te (0.3421, 0.3421, 0.0000)  4 Er 3.25, 4 Ho 3.26

***

Entry from Alexandria: an optimized crystal structure of HoEr2Te3 (GGA-PBE).

Properties
Relative energy among the computed polymorphs: 0 meV/atom

a = 8.7576 Å, b = 8.7576 Å, c = 8.7576 Å
α = 48.47°, β = 48.47°, γ = 48.47°
Last column: nearest neighbours and their distance in Å.
Sites, in units of the cell vectors:
Ho (0.0000, 0.0000, 0.0000)  6 Te 3.08
Ho (0.5000, 0.5000, 0.5000)  6 Te 3.08
Er (0.1665, 0.1665, 0.1665)  6 Te 3.07-3.08
Er (0.3335, 0.3335, 0.3335)  6 Te 3.07-3.08
Er (0.6665, 0.6665, 0.6665)  6 Te 3.07-3.08
Er (0.8335, 0.8335, 0.8335)  6 Te 3.07-3.08
Te (0.0823, 0.7500, 0.4177)  4 Er 3.07-3.08, 2 Ho 3.08
Te (0.2500, 0.5823, 0.9177)  4 Er 3.07-3.08, 2 Ho 3.08
Te (0.4177, 0.0823, 0.7500)  4 Er 3.07-3.08, 2 Ho 3.08
Te (0.5823, 0.9177, 0.2500)  4 Er 3.07-3.08, 2 Ho 3.08
Te (0.7500, 0.4177, 0.0823)  4 Er 3.07-3.08, 2 Ho 3.08
Te (0.9177, 0.2500, 0.5823)  4 Er 3.07-3.08, 2 Ho 3.08

***

Entry from Alexandria: an optimized crystal structure of Ho2ErTe2 (GGA-PBE).

a = 8.8592 Å, b = 8.8592 Å, c = 8.8592 Å
α = 152.38°, β = 152.38°, γ = 39.46°
Last column: nearest neighbours and their distance in Å.
Sites, in units of the cell vectors:
Ho (0.1228, 0.1228, 0.0000)  5 Te 3.14-3.30
Ho (0.8772, 0.8772, 0.0000)  5 Te 3.14-3.30
Er (0.5000, 0.5000, 0.0000)  2 Te 2.99
Te (0.3206, 0.3206, 0.0000)  1 Er 2.99, 5 Ho 3.14-3.30
Te (0.6794, 0.6794, 0.0000)  1 Er 2.99, 5 Ho 3.14-3.30

***

Entry from Alexandria: an optimized crystal structure of HoErTe6 (GGA-PBE).

a = 4.3333 Å, b = 13.4527 Å, c = 13.4527 Å
α = 18.52°, β = 90.00°, γ = 90.00°
Last column: nearest neighbours and their distance in Å.
Sites, in units of the cell vectors:
Ho (0.0000, 0.0000, 0.0000)  9 Te 3.18-3.31
Er (0.5000, 0.3456, 0.3456)  9 Te 3.17-3.30
Te (0.0000, 0.2518, 0.2518)  4 Te 3.06, 2 Er 3.30
Te (0.0000, 0.5942, 0.5942)  4 Te 3.06, 2 Ho 3.31
Te (0.0000, 0.8802, 0.8802)  1 Ho 3.18, 4 Er 3.20
Te (0.5000, 0.0940, 0.0940)  4 Te 3.06, 2 Ho 3.31
Te (0.5000, 0.4650, 0.4650)  1 Er 3.17, 4 Ho 3.20
Te (0.5000, 0.7516, 0.7516)  4 Te 3.06, 2 Er 3.30

***

Entry from Alexandria: an optimized crystal structure of Ho3Er2Te6 (GGA-PBE).

a = 7.4450 Å, b = 7.4450 Å, c = 7.4528 Å
α = 99.69°, β = 99.69°, γ = 119.72°
Last column: nearest neighbours and their distance in Å.
Sites, in units of the cell vectors:
Ho (0.0000, 0.0000, 0.0000)  6 Te 3.05-3.14
Ho (0.3299, 0.6701, 0.0000)  6 Te 3.05-3.11
Ho (0.6701, 0.3299, 0.0000)  6 Te 3.05-3.11
Er (0.1640, 0.8360, 0.5000)  6 Te 3.02-3.06
Er (0.8360, 0.1640, 0.5000)  6 Te 3.02-3.06
Te (0.0969, 0.4204, 0.2586)  3 Ho 3.05-3.11, 2 Er 3.05-3.06
Te (0.2584, 0.2584, 0.7444)  2 Er 3.02, 3 Ho 3.06-3.14
Te (0.4204, 0.0969, 0.2586)  3 Ho 3.05-3.11, 2 Er 3.05-3.06
Te (0.5796, 0.9031, 0.7414)  3 Ho 3.05-3.11, 2 Er 3.05-3.06
Te (0.7416, 0.7416, 0.2556)  2 Er 3.02, 3 Ho 3.06-3.14
Te (0.9031, 0.5796, 0.7414)  3 Ho 3.05-3.11, 2 Er 3.05-3.06

***

Entry from Alexandria: an optimized crystal structure of HoErTe (GGA-PBE).

Properties
Relative energy among the computed polymorphs: 5 meV/atom

a = 8.1847 Å, b = 3.8965 Å, c = 10.6017 Å
α = 90.00°, β = 90.00°, γ = 90.00°
Last column: nearest neighbours and their distance in Å.
Sites, in units of the cell vectors:
Ho (0.1580, 0.2500, 0.0553)  4 Te 3.11-3.17, 2 Ho 3.44
Ho (0.3420, 0.7500, 0.5553)  4 Te 3.11-3.17, 2 Ho 3.44
Ho (0.6580, 0.2500, 0.4447)  4 Te 3.11-3.17, 2 Ho 3.44
Ho (0.8420, 0.7500, 0.9447)  4 Te 3.11-3.17, 2 Ho 3.44
Er (0.0009, 0.7500, 0.3418)  4 Te 3.12-3.14
Er (0.4991, 0.2500, 0.8418)  4 Te 3.12-3.14
Er (0.5009, 0.7500, 0.1582)  4 Te 3.12-3.14
Er (0.9991, 0.2500, 0.6582)  4 Te 3.12-3.14
Te (0.1987, 0.7500, 0.8285)  4 Ho 3.11-3.17, 4 Er 3.12-3.14
Te (0.3013, 0.2500, 0.3285)  4 Ho 3.11-3.17, 4 Er 3.12-3.14
Te (0.6987, 0.7500, 0.6715)  4 Ho 3.11-3.17, 4 Er 3.12-3.14
Te (0.8013, 0.2500, 0.1715)  4 Ho 3.11-3.17, 4 Er 3.12-3.14

***

Entry from Alexandria: an optimized crystal structure of Ho3Er4Te8 (GGA-PBE).

a = 8.6200 Å, b = 8.6200 Å, c = 8.6199 Å
α = 119.99°, β = 119.99°, γ = 90.01°
Last column: nearest neighbours and their distance in Å.
Sites, in units of the cell vectors:
Ho (0.0000, 0.0000, 0.0000)  6 Te 3.05
Ho (0.0000, 0.5000, 0.0000)  6 Te 3.05
Ho (0.5000, 0.0000, 0.0000)  6 Te 3.05
Er (0.0000, 0.0000, 0.5000)  6 Te 3.11
Er (0.0000, 0.5000, 0.5000)  6 Te 3.05
Er (0.5000, 0.0000, 0.5000)  6 Te 3.05
Er (0.5000, 0.5000, 0.0000)  6 Te 3.04
Te (0.2505, 0.7495, 0.0000)  3 Er 3.04-3.05, 3 Ho 3.05
Te (0.2551, 0.7449, 0.5000)  3 Er 3.05-3.11, 2 Ho 3.05
Te (0.2556, 0.2556, 0.0103)  2 Er 3.04-3.11, 3 Ho 3.05
Te (0.2557, 0.2557, 0.5010)  4 Er 3.04-3.11, 1 Ho 3.05
Te (0.7443, 0.7443, 0.4990)  4 Er 3.04-3.11, 1 Ho 3.05
Te (0.7444, 0.7444, 0.9897)  2 Er 3.04-3.11, 3 Ho 3.05
Te (0.7449, 0.2551, 0.5000)  3 Er 3.05-3.11, 2 Ho 3.05
Te (0.7495, 0.2505, 0.0000)  3 Er 3.04-3.05, 3 Ho 3.05

***

Entry from Alexandria: an optimized crystal structure of HoEr4Te2 (GGA-PBE).

a = 9.3358 Å, b = 9.3358 Å, c = 9.3358 Å
α = 33.50°, β = 33.50°, γ = 33.50°
Last column: nearest neighbours and their distance in Å.
Sites, in units of the cell vectors:
Ho (0.0000, 0.0000, 0.0000)  2 Te 3.11, 6 Er 3.22
Er (0.2356, 0.2356, 0.2356)  4 Te 3.11-3.15, 1 Er 3.44
Er (0.3657, 0.3657, 0.3657)  3 Ho 3.22, 7 Er 3.44-3.55
Er (0.6343, 0.6343, 0.6343)  3 Ho 3.22, 7 Er 3.44-3.55
Er (0.7644, 0.7644, 0.7644)  4 Te 3.11-3.15, 1 Er 3.44
Te (0.1179, 0.1179, 0.1179)  4 Er 3.11-3.15, 1 Ho 3.11
Te (0.8821, 0.8821, 0.8821)  4 Er 3.11-3.15, 1 Ho 3.11

***

Entry from Alexandria: an optimized crystal structure of Ho2Er3Te8 (GGA-PBE).

a = 8.7509 Å, b = 8.7509 Å, c = 7.4479 Å
α = 106.03°, β = 106.03°, γ = 59.11°
Last column: nearest neighbours and their distance in Å.
Sites, in units of the cell vectors:
Ho (0.2494, 0.2494, 0.1695)  6 Te 3.03-3.13
Ho (0.7506, 0.7506, 0.8305)  6 Te 3.03-3.13
Er (0.2429, 0.7571, 0.5000)  6 Te 3.00-3.07
Er (0.5000, 0.5000, 0.0000)  6 Te 3.04-3.05
Er (0.7571, 0.2429, 0.5000)  6 Te 3.00-3.07
Te (0.1173, 0.1173, 0.3993)  2 Er 3.00, 1 Ho 3.03
Te (0.1301, 0.6268, 0.0875)  2 Er 3.04, 2 Ho 3.10-3.13
Te (0.3732, 0.8699, 0.9125)  2 Er 3.04, 2 Ho 3.10-3.13
Te (0.3792, 0.3792, 0.5852)  3 Er 3.05-3.07, 1 Ho 3.10
Te (0.6208, 0.6208, 0.4148)  3 Er 3.05-3.07, 1 Ho 3.10
Te (0.6268, 0.1301, 0.0875)  2 Er 3.04, 2 Ho 3.10-3.13
Te (0.8699, 0.3732, 0.9125)  2 Er 3.04, 2 Ho 3.10-3.13
Te (0.8827, 0.8827, 0.6007)  2 Er 3.00, 1 Ho 3.03

***

Entry from Alexandria: an optimized crystal structure of HoEr2Te3 (GGA-PBE).

Properties
Relative energy among the computed polymorphs: 29 meV/atom

a = 7.4668 Å, b = 7.4668 Å, c = 7.4668 Å
α = 146.11°, β = 131.84°, γ = 60.19°
Last column: nearest neighbours and their distance in Å.
Sites, in units of the cell vectors:
Ho (0.0000, 0.0000, 0.0000)  6 Te 3.05-3.08
Er (0.3353, 0.3353, 0.0000)  6 Te 3.04-3.07
Er (0.6647, 0.6647, 0.0000)  6 Te 3.04-3.07
Te (0.1682, 0.6682, 0.5000)  4 Er 3.05-3.07, 2 Ho 3.08
Te (0.5000, 0.0000, 0.5000)  4 Er 3.04, 2 Ho 3.05
Te (0.8318, 0.3318, 0.5000)  4 Er 3.05-3.07, 2 Ho 3.08

***

Entry from Alexandria: an optimized crystal structure of Ho3ErTe6 (GGA-PBE).

Properties
Relative energy among the computed polymorphs: 0 meV/atom

a = 7.2925 Å, b = 8.0077 Å, c = 13.3196 Å
α = 90.00°, β = 123.08°, γ = 90.00°
Last column: nearest neighbours and their distance in Å.
Sites, in units of the cell vectors:
Ho (0.0000, 0.0000, 0.0000)  6 Te 2.98-3.08
Ho (0.0000, 0.5000, 0.5000)  6 Te 2.98-3.08
Ho (0.3039, 0.1215, 0.7505)  6 Te 3.06-3.24
Ho (0.3039, 0.3785, 0.2505)  6 Te 3.06-3.24
Ho (0.6961, 0.6215, 0.7495)  6 Te 3.06-3.24
Ho (0.6961, 0.8785, 0.2495)  6 Te 3.06-3.24
Er (0.5000, 0.0000, 0.5000)  6 Te 2.97-3.07
Er (0.5000, 0.5000, 0.0000)  6 Te 2.97-3.07
Te (0.0842, 0.0523, 0.2507)  3 Ho 3.06-3.15, 1 Er 3.07
Te (0.0842, 0.4477, 0.7507)  3 Ho 3.06-3.15, 1 Er 3.07
Te (0.2453, 0.6740, 0.0824)  1 Er 2.97, 3 Ho 3.01-3.23
Te (0.2453, 0.8260, 0.5824)  1 Er 2.97, 3 Ho 3.01-3.23
Te (0.4200, 0.1747, 0.0821)  3 Ho 2.98-3.24, 1 Er 3.00
Te (0.4200, 0.3253, 0.5821)  3 Ho 2.98-3.24, 1 Er 3.00
Te (0.5800, 0.6747, 0.4179)  3 Ho 2.98-3.24, 1 Er 3.00
Te (0.5800, 0.8253, 0.9179)  3 Ho 2.98-3.24, 1 Er 3.00
Te (0.7547, 0.1740, 0.4176)  1 Er 2.97, 3 Ho 3.01-3.23
Te (0.7547, 0.3260, 0.9176)  1 Er 2.97, 3 Ho 3.01-3.23
Te (0.9158, 0.5523, 0.2493)  3 Ho 3.06-3.15, 1 Er 3.07
Te (0.9158, 0.9477, 0.7493)  3 Ho 3.06-3.15, 1 Er 3.07

***

no.,uncorrected formation energy (eV per atom),theoretical density (g/cm³)
1,-0.46,8.5
2,-0.76,9.0
3,-1.25,8.5
4,-0.95,8.4
5,-0.89,7.3
6,-1.36,7.8
7,-0.82,9.0
8,-1.32,8.0
9,-0.48,8.2
10,-1.24,6.6
11,-1.22,8.6
12,-1.33,7.3